[1]
Density functional theory data (PBE-GGA) for a relaxed Cr2PPt crystal.

For the magnetization, the calculation gives 0.0 μB per cell. The calculation puts the total DFT energy (no corrections) at -7.697 eV/atom. The calculation puts the formation energy at -0.0223 eV/atom.

The structure belongs to space group P4/mmm (No. 123); the cell edges are 4.390, 4.390 and 2.671 Å and the angles 90.00°, 90.00° and 90.00°. The asymmetric unit holds Cr at (0.000, 0.500, 0.000), P at (0.000, 0.000, 0.500) and Pt at (0.500, 0.500, 0.500).

[2]
Density functional theory data (PBE-GGA) for a relaxed CrPPt2 crystal.

For the magnetization, the calculation gives 0.0 μB per cell. The calculation puts the total DFT energy (no corrections) at -6.955 eV/atom. The calculation puts the formation energy at -0.1763 eV/atom.

The structure belongs to space group P4mm (No. 99); the cell edges are 2.849, 2.849 and 6.773 Å and the angles 90.00°, 90.00° and 90.00°. The asymmetric unit holds Cr at (0.000, 0.000, 0.000), P at (0.500, 0.500, 0.175), Pt at (0.000, 0.000, 0.418) and Pt at (0.500, 0.500, 0.736).

[3]
Density functional theory data (PBE-GGA) for a relaxed Cr2PPt crystal.

For the magnetization, the calculation gives 26.3 μB per cell. The calculation puts the total DFT energy (no corrections) at -7.225 eV/atom. The calculation puts the formation energy at 0.4491 eV/atom.

The structure belongs to space group I-42d (No. 122); the cell edges are 5.272, 5.272 and 11.994 Å and the angles 90.00°, 90.00° and 90.00°. The asymmetric unit holds Cr at (0.221, 0.250, 0.125), P at (0.000, 0.000, 0.000) and Pt at (0.000, 0.000, 0.500).

[4]
Density functional theory data (PBE-GGA) for a relaxed Cr2PPt crystal.

For the magnetization, the calculation gives 0.0 μB per cell. The calculation puts the total DFT energy (no corrections) at -7.776 eV/atom. The calculation puts the formation energy at -0.1013 eV/atom.

The structure belongs to space group Immm (No. 71); the cell edges are 2.879, 4.276 and 8.270 Å and the angles 90.00°, 90.00° and 90.00°. The asymmetric unit holds Cr at (0.000, 0.000, 0.219), P at (0.000, 0.500, 0.500) and Pt at (0.000, 0.500, 0.000).

[5]
Density functional theory data (PBE-GGA) for a relaxed CrP2Pt crystal.

For the magnetization, the calculation gives 11.4 μB per cell. The calculation puts the total DFT energy (no corrections) at -6.284 eV/atom. The calculation puts the formation energy at 0.3370 eV/atom. The value obtained for the energy above the most stable polymorph in this dataset is 651.2 meV/atom.

The structure belongs to space group F-43m (No. 216); the cell edges are 6.162, 6.162 and 6.162 Å and the angles 90.00°, 90.00° and 90.00°. The asymmetric unit holds Cr at (0.000, 0.000, 0.000), P at (0.000, 0.000, 0.500), P at (0.250, 0.250, 0.250) and Pt at (0.250, 0.250, 0.750).

[6]
Density functional theory data (PBE-GGA) for a relaxed Cr4PPt crystal.

For the magnetization, the calculation gives 0.0 μB per cell. The calculation puts the total DFT energy (no corrections) at -8.031 eV/atom. The calculation puts the formation energy at 0.2932 eV/atom.

The structure belongs to space group F-43m (No. 216); the cell edges are 6.713, 6.713 and 6.713 Å and the angles 90.00°, 90.00° and 90.00°. The asymmetric unit holds Cr at (0.123, 0.123, 0.123), P at (0.250, 0.250, 0.750) and Pt at (0.000, 0.000, 0.500).

- What is the formula in the third record?
  Cr2PPt

Please write out number 6 again, unchanged.
Density functional theory data (PBE-GGA) for a relaxed Cr4PPt crystal.

For the magnetization, the calculation gives 0.0 μB per cell. The calculation puts the total DFT energy (no corrections) at -8.031 eV/atom. The calculation puts the formation energy at 0.2932 eV/atom.

The structure belongs to space group F-43m (No. 216); the cell edges are 6.713, 6.713 and 6.713 Å and the angles 90.00°, 90.00° and 90.00°. The asymmetric unit holds Cr at (0.123, 0.123, 0.123), P at (0.250, 0.250, 0.750) and Pt at (0.000, 0.000, 0.500).

- What is the formula in the sixth record?
  Cr4PPt